[1]
The following is a PBE-GGA calculation of an optimized crystal structure of Sr12In3Cl5, from Alexandria.

abc: 18.7256 18.7256 18.7256
angles: 90.00 90.00 90.00
Closest atoms and distances in Å follow each position.
Space group Ia-3d (No. 230)
One atom of each set of equivalent atoms:
Sr  0.0242  0.0668  0.6548 x96  2 Cl 2.88-3.19
In  0.0000  0.2500  0.1250 x24  8 Sr 3.50-3.54
Cl  0.0000  0.0000  0.0000 x16  6 Sr 3.19
Cl  0.0000  0.2500  0.3750 x24  4 Sr 2.88

Output
* ρ: 3.18 g cm⁻³
* formation energy without anion corrections: -938 meV/atom
* raw total energy: -2.820 eV per atom
* D(E_F): 100.291 states/eV/cell

=====

[2]
The following is a PBE-GGA calculation of an optimized crystal structure of SrInCl2, from Alexandria.

abc: 5.0183 5.0183 4.3669
angles: 90.00 90.00 90.00
Closest atoms and distances in Å follow each position.
Space group P4/mmm (No. 123)
One atom of each set of equivalent atoms:
Sr  0.0000  0.0000  0.0000 x1  8 Cl 3.33, 4 In 3.55
In  0.5000  0.5000  0.0000 x1  8 Cl 3.33, 4 Sr 3.55
Cl  0.0000  0.5000  0.5000 x2  4 In 3.33, 4 Sr 3.33, 4 Cl 3.55

Output
* ρ: 4.13 g cm⁻³
* excess energy over the best structure of this formula in the dataset: 301 meV per atom
* formation energy without anion corrections: -1235 meV/atom
* raw total energy: -3.263 eV per atom
* D(E_F): 1.495 states/eV/cell

=====

[3]
The following is a PBE-GGA calculation of an optimized crystal structure of SrInCl2, from Alexandria.

abc: 7.3678 8.5242 5.6144
angles: 90.00 130.37 90.00
Closest atoms and distances in Å follow each position.
Space group C2/m (No. 12)
One atom of each set of equivalent atoms:
Sr  0.0000  0.0000  0.0000 x2  4 Cl 3.02
In  0.0000  0.5000  0.0000 x2  4 Cl 3.02
Cl  0.2500  0.2500  0.5000 x4  2 In 3.02, 2 Sr 3.02

Output
* ρ: 3.38 g cm⁻³
* excess energy over the best structure of this formula in the dataset: 241 meV per atom
* formation energy without anion corrections: -1295 meV/atom
* raw total energy: -3.323 eV per atom
* D(E_F): 3.578 states/eV/cell

=====

[4]
The following is a PBE-GGA calculation of an optimized crystal structure of SrTbInCl6, from Alexandria.

abc: 7.3774 7.3774 13.3807
angles: 90.00 90.00 120.00
Closest atoms and distances in Å follow each position.
Space group P-31c (No. 163)
One atom of each set of equivalent atoms:
Sr  0.3333  0.6667  0.2500 x2  6 Cl 2.91
Tb  0.3333  0.6667  0.7500 x2  6 Cl 2.67
In  0.0000  0.0000  0.0000 x2  6 Cl 3.27
Cl  0.0247  0.3789  0.6370 x12  1 Tb 2.67, 1 Sr 2.91

Output
* ρ: 3.02 g cm⁻³
* formation energy without anion corrections: -2034 meV/atom
* raw total energy: -4.271 eV per atom
* D(E_F): 0.000 states/eV/cell

=====

[5]
The following is a PBE-GGA calculation of an optimized crystal structure of SrIn2TeCl, from Alexandria.

abc: 6.4546 6.4546 5.2399
angles: 90.00 90.00 90.00
Closest atoms and distances in Å follow each position.
Space group P4/mmm (No. 123)
One atom of each set of equivalent atoms:
Sr  0.0000  0.0000  0.0000 x1  2 Cl 2.62
In  0.0000  0.5000  0.0000 x2  2 Sr 3.23
Te  0.5000  0.5000  0.5000 x1  8 In 4.16, 4 Cl 4.56
Cl  0.0000  0.0000  0.5000 x1  2 Sr 2.62

Output
* ρ: 3.65 g cm⁻³
* formation energy without anion corrections: -202 meV/atom
* raw total energy: -2.632 eV per atom
* D(E_F): 2.344 states/eV/cell

=====

[6]
The following is a PBE-GGA calculation of an optimized crystal structure of SrTiInCl6, from Alexandria.

abc: 7.0674 7.0674 6.7102
angles: 90.00 90.00 120.00
Closest atoms and distances in Å follow each position.
Space group P312 (No. 149)
One atom of each set of equivalent atoms:
Sr  0.0000  0.0000  0.0000 x1  6 Cl 2.90
Ti  0.3333  0.6667  0.0000 x1  6 Cl 2.45
In  0.6667  0.3333  0.5000 x1  6 Cl 3.23
Cl  0.0564  0.3814  0.2136 x6  1 Ti 2.45

Output
* ρ: 2.65 g cm⁻³
* formation energy without anion corrections: -1691 meV/atom
* raw total energy: -4.290 eV per atom
* D(E_F): 6.572 states/eV/cell